## Ni3AsSe (PBE-GGA)

Data for a geometry-optimized Ni3AsSe structure.

Values from the calculation:
For the total magnetic moment, the calculation gives 0.000 Bohr magnetons per cell. The calculated density is 7.0 g cm⁻³. The relative energy among the computed polymorphs is 0.061 eV per atom. Its uncorrected formation energy is -0.18 eV per atom. The calculation puts the density of states at the Fermi level at 0.81 states/eV/atom.

```
Ni3AsSe
1.0
3.879 0.000 0.000
0.001 6.533 0.000
1.892 1.215 6.149
Ni As Se
6 2 2
direct
0.070 0.180 0.368
0.194 0.553 0.114
0.311 0.931 0.874
0.689 0.069 0.126
0.806 0.447 0.886
0.930 0.820 0.632
0.127 0.861 0.252
0.873 0.139 0.748
0.385 0.618 0.725
0.615 0.382 0.275
```